(1)
Ac2CdN | PBE | optimized geometry

extended XYZ file:
```
4
Lattice="-2.0987 2.5096 -2.1036 -2.8796 -1.2970 -2.2702 -7.2563 1.2633 5.1506" Properties=species:S:1:pos:R:3 pbc="T T T"
Cd 0.0000 0.0000 0.0000
N -6.1173 1.2379 0.3884
Ac -8.7486 1.7913 0.0780
Ac -3.4860 0.6846 0.6988
```

Output
* electronic total energy: -4.917 eV per atom
* calculated volume: 28.5 Å³ per atom

***

(2)
MnAlPt2 | PBE | optimized geometry

extended XYZ file:
```
4
Lattice="-4.1746 -1.3845 1.0026 -3.2267 -2.8823 -1.2768 0.9427 -3.8916 2.9492" Properties=species:S:1:pos:R:3 pbc="T T T"
Al -4.8439 -6.1188 2.0063
Pt 0.8989 -3.9080 2.9417
Pt -3.1855 -4.0629 1.3450
Mn -1.6146 -2.0396 0.6688
```

Output
* calculated formation energy: -0.5353 eV per atom
* calculated volume: 15.0 Å³ per atom

***

> Which value of calculated volume does entry 1 give?

28.5 Å³ per atom

***

Repeat the first record exactly.
Ac2CdN | PBE | optimized geometry

extended XYZ file:
```
4
Lattice="-2.0987 2.5096 -2.1036 -2.8796 -1.2970 -2.2702 -7.2563 1.2633 5.1506" Properties=species:S:1:pos:R:3 pbc="T T T"
Cd 0.0000 0.0000 0.0000
N -6.1173 1.2379 0.3884
Ac -8.7486 1.7913 0.0780
Ac -3.4860 0.6846 0.6988
```

Output
* electronic total energy: -4.917 eV per atom
* calculated volume: 28.5 Å³ per atom

***

> Which of these has the highest calculated volume?

Ac2CdN